[1]
First-principles (SCAN) data for a PBEsol-optimized structure of Li2BeIr, as listed in the Alexandria database.

Computed properties:
**Uncorrected energy**: -20.403 eV/atom
**Space-group type**: No. 47

Structure (CIF):
```
data_Li2BeIr
_cell_length_a 2.911
_cell_length_b 3.661
_cell_length_c 4.205
_cell_angle_alpha 90.00
_cell_angle_beta 90.00
_cell_angle_gamma 90.00
_space_group_name_H-M_alt 'P 1'
_space_group_IT_number 1
loop_
_space_group_symop_operation_xyz
'x,y,z'
loop_
_atom_site_label
_atom_site_type_symbol
_atom_site_fract_x
_atom_site_fract_y
_atom_site_fract_z
_atom_site_occupancy
Li1 Li 0.000 0.000 0.000 1
Li2 Li 0.500 0.500 0.000 1
Be1 Be 0.500 0.000 0.500 1
Ir1 Ir 0.000 0.500 0.500 1
```

[2]
First-principles (SCAN) data for a PBEsol-optimized structure of BaIO2F, as listed in the Alexandria database.

Computed properties:
**Uncorrected energy**: -18.757 eV/atom
**Space-group type**: No. 123
**E_form (uncorrected)**: -0.298 eV/atom

Structure (CIF):
```
data_BaIO2F
_cell_length_a 4.428
_cell_length_b 4.428
_cell_length_c 7.424
_cell_angle_alpha 90.00
_cell_angle_beta 90.00
_cell_angle_gamma 90.00
_space_group_name_H-M_alt 'P 1'
_space_group_IT_number 1
loop_
_space_group_symop_operation_xyz
'x,y,z'
loop_
_atom_site_label
_atom_site_type_symbol
_atom_site_fract_x
_atom_site_fract_y
_atom_site_fract_z
_atom_site_occupancy
I1 I 0.000 0.000 0.500 1
F1 F 0.500 0.500 0.500 1
Ba1 Ba 0.000 0.000 0.000 1
O1 O 0.000 0.500 0.000 1
O2 O 0.500 0.000 0.000 1
```

[3]
First-principles (SCAN) data for a PBEsol-optimized structure of KMn2Zn, as listed in the Alexandria database.

Computed properties:
**Uncorrected energy**: -14.269 eV/atom
**Space-group type**: No. 99

Structure (CIF):
```
data_KMn2Zn
_cell_length_a 2.943
_cell_length_b 2.943
_cell_length_c 8.161
_cell_angle_alpha 90.00
_cell_angle_beta 90.00
_cell_angle_gamma 90.00
_space_group_name_H-M_alt 'P 1'
_space_group_IT_number 1
loop_
_space_group_symop_operation_xyz
'x,y,z'
loop_
_atom_site_label
_atom_site_type_symbol
_atom_site_fract_x
_atom_site_fract_y
_atom_site_fract_z
_atom_site_occupancy
Mn1 Mn 0.500 0.500 0.234 1
Mn2 Mn 0.000 0.000 0.096 1
Zn1 Zn 0.000 0.000 0.420 1
K1 K 0.500 0.500 0.750 1
```

[4]
First-principles (SCAN) data for a PBEsol-optimized structure of Cu3SeI, as listed in the Alexandria database.

Computed properties:
**Polymorph energy (0 for the lowest one)**: 0.0 meV per atom
**Uncorrected energy**: -20.581 eV/atom
**Space-group type**: No. 1
**E_form (uncorrected)**: -0.097 eV/atom

Structure (CIF):
```
data_Cu3SeI
_cell_length_a 3.921
_cell_length_b 4.148
_cell_length_c 6.915
_cell_angle_alpha 88.39
_cell_angle_beta 89.87
_cell_angle_gamma 61.78
_space_group_name_H-M_alt 'P 1'
_space_group_IT_number 1
loop_
_space_group_symop_operation_xyz
'x,y,z'
loop_
_atom_site_label
_atom_site_type_symbol
_atom_site_fract_x
_atom_site_fract_y
_atom_site_fract_z
_atom_site_occupancy
Cu1 Cu 0.203 0.515 0.654 1
Cu2 Cu 0.838 0.239 0.917 1
Cu3 Cu 0.520 0.876 0.809 1
I1 I 0.497 0.929 0.443 1
Se1 Se 0.155 0.605 0.000 1
```

[5]
First-principles (SCAN) data for a PBEsol-optimized structure of CdInOs2Pb, as listed in the Alexandria database.

Computed properties:
**Uncorrected energy**: -54.508 eV/atom
**Space-group type**: No. 123

Structure (CIF):
```
data_CdInOs2Pb
_cell_length_a 4.896
_cell_length_b 4.896
_cell_length_c 5.347
_cell_angle_alpha 90.00
_cell_angle_beta 90.00
_cell_angle_gamma 90.00
_space_group_name_H-M_alt 'P 1'
_space_group_IT_number 1
loop_
_space_group_symop_operation_xyz
'x,y,z'
loop_
_atom_site_label
_atom_site_type_symbol
_atom_site_fract_x
_atom_site_fract_y
_atom_site_fract_z
_atom_site_occupancy
Os1 Os 0.500 0.000 0.000 1
Os2 Os 0.000 0.500 0.000 1
Pb1 Pb 0.000 0.000 0.500 1
In1 In 0.000 0.000 0.000 1
Cd1 Cd 0.500 0.500 0.500 1
```

[6]
First-principles (SCAN) data for a PBEsol-optimized structure of LaPSe2, as listed in the Alexandria database.

Computed properties:
**Uncorrected energy**: -24.268 eV/atom
**Space-group type**: No. 65
**E_form (uncorrected)**: -0.853 eV/atom

Structure (CIF):
```
data_LaPSe2
_cell_length_a 3.958
_cell_length_b 4.643
_cell_length_c 4.643
_cell_angle_alpha 93.56
_cell_angle_beta 90.00
_cell_angle_gamma 90.00
_space_group_name_H-M_alt 'P 1'
_space_group_IT_number 1
loop_
_space_group_symop_operation_xyz
'x,y,z'
loop_
_atom_site_label
_atom_site_type_symbol
_atom_site_fract_x
_atom_site_fract_y
_atom_site_fract_z
_atom_site_occupancy
P1 P 0.500 0.500 0.500 1
Se1 Se 0.000 0.500 0.000 1
Se2 Se 0.000 0.000 0.500 1
La1 La 0.500 0.000 0.000 1
```

[7]
First-principles (SCAN) data for a PBEsol-optimized structure of FeW3, as listed in the Alexandria database.

Computed properties:
**Uncorrected energy**: -54.242 eV/atom
**Space-group type**: No. 221

Structure (CIF):
```
data_FeW3
_cell_length_a 4.425
_cell_length_b 4.425
_cell_length_c 4.425
_cell_angle_alpha 90.00
_cell_angle_beta 90.00
_cell_angle_gamma 90.00
_space_group_name_H-M_alt 'P 1'
_space_group_IT_number 1
loop_
_space_group_symop_operation_xyz
'x,y,z'
loop_
_atom_site_label
_atom_site_type_symbol
_atom_site_fract_x
_atom_site_fract_y
_atom_site_fract_z
_atom_site_occupancy
W1 W 0.500 0.000 0.000 1
W2 W 0.000 0.000 0.500 1
W3 W 0.000 0.500 0.000 1
Fe1 Fe 0.000 0.000 0.000 1
```

[8]
First-principles (SCAN) data for a PBEsol-optimized structure of Ba2TeAs2, as listed in the Alexandria database.

Computed properties:
**Uncorrected energy**: -32.332 eV/atom
**Space-group type**: No. 139
**E_form (uncorrected)**: -0.985 eV/atom

Structure (CIF):
```
data_Ba2TeAs2
_cell_length_a 6.170
_cell_length_b 6.170
_cell_length_c 6.170
_cell_angle_alpha 91.25
_cell_angle_beta 119.28
_cell_angle_gamma 119.28
_space_group_name_H-M_alt 'P 1'
_space_group_IT_number 1
loop_
_space_group_symop_operation_xyz
'x,y,z'
loop_
_atom_site_label
_atom_site_type_symbol
_atom_site_fract_x
_atom_site_fract_y
_atom_site_fract_z
_atom_site_occupancy
Ba1 Ba 0.500 0.250 0.750 1
Ba2 Ba 0.500 0.750 0.250 1
As1 As 0.000 0.358 0.358 1
As2 As 0.000 0.642 0.642 1
Te1 Te 0.000 0.000 0.000 1
```

[9]
First-principles (SCAN) data for a PBEsol-optimized structure of Tc2SbBr, as listed in the Alexandria database.

Computed properties:
**Polymorph energy (0 for the lowest one)**: 818.8 meV per atom
**Uncorrected energy**: -30.726 eV/atom
**Space-group type**: No. 71
**E_form (uncorrected)**: 0.984 eV/atom

Structure (CIF):
```
data_Tc2SbBr
_cell_length_a 3.008
_cell_length_b 5.300
_cell_length_c 5.300
_cell_angle_alpha 60.95
_cell_angle_beta 73.51
_cell_angle_gamma 73.51
_space_group_name_H-M_alt 'P 1'
_space_group_IT_number 1
loop_
_space_group_symop_operation_xyz
'x,y,z'
loop_
_atom_site_label
_atom_site_type_symbol
_atom_site_fract_x
_atom_site_fract_y
_atom_site_fract_z
_atom_site_occupancy
Sb1 Sb 0.000 0.500 0.500 1
Br1 Br 0.500 0.000 0.000 1
Tc1 Tc 0.755 0.245 0.245 1
Tc2 Tc 0.245 0.755 0.755 1
```

[10]
First-principles (SCAN) data for a PBEsol-optimized structure of Ti3ZnN, as listed in the Alexandria database.

Computed properties:
**Polymorph energy (0 for the lowest one)**: 24.4 meV per atom
**Uncorrected energy**: -15.199 eV/atom
**Space-group type**: No. 221
**E_form (uncorrected)**: -1.019 eV/atom

Structure (CIF):
```
data_Ti3ZnN
_cell_length_a 4.064
_cell_length_b 4.064
_cell_length_c 4.064
_cell_angle_alpha 90.00
_cell_angle_beta 90.00
_cell_angle_gamma 90.00
_space_group_name_H-M_alt 'P 1'
_space_group_IT_number 1
loop_
_space_group_symop_operation_xyz
'x,y,z'
loop_
_atom_site_label
_atom_site_type_symbol
_atom_site_fract_x
_atom_site_fract_y
_atom_site_fract_z
_atom_site_occupancy
Ti1 Ti 0.000 0.000 0.500 1
Ti2 Ti 0.000 0.500 0.000 1
Ti3 Ti 0.500 0.000 0.000 1
Zn1 Zn 0.500 0.500 0.500 1
N1 N 0.000 0.000 0.000 1
```

[11]
First-principles (SCAN) data for a PBEsol-optimized structure of Cd2PbAu2, as listed in the Alexandria database.

Computed properties:
**Polymorph energy (0 for the lowest one)**: 20.3 meV per atom
**Uncorrected energy**: -55.121 eV/atom
**Space-group type**: No. 139

Structure (CIF):
```
data_Cd2PbAu2
_cell_length_a 4.098
_cell_length_b 4.098
_cell_length_c 7.148
_cell_angle_alpha 106.66
_cell_angle_beta 106.66
_cell_angle_gamma 90.00
_space_group_name_H-M_alt 'P 1'
_space_group_IT_number 1
loop_
_space_group_symop_operation_xyz
'x,y,z'
loop_
_atom_site_label
_atom_site_type_symbol
_atom_site_fract_x
_atom_site_fract_y
_atom_site_fract_z
_atom_site_occupancy
Cd1 Cd 0.750 0.250 0.500 1
Cd2 Cd 0.250 0.750 0.500 1
Au1 Au 0.603 0.603 0.205 1
Au2 Au 0.397 0.397 0.795 1
Pb1 Pb 0.000 0.000 0.000 1
```

[12]
First-principles (SCAN) data for a PBEsol-optimized structure of PrScO3, as listed in the Alexandria database.

Computed properties:
**Uncorrected energy**: -19.075 eV/atom
**Space-group type**: No. 62
**E_form (uncorrected)**: -3.824 eV/atom

Structure (CIF):
```
data_PrScO3
_cell_length_a 5.581
_cell_length_b 5.787
_cell_length_c 8.005
_cell_angle_alpha 90.00
_cell_angle_beta 90.00
_cell_angle_gamma 90.00
_space_group_name_H-M_alt 'P 1'
_space_group_IT_number 1
loop_
_space_group_symop_operation_xyz
'x,y,z'
loop_
_atom_site_label
_atom_site_type_symbol
_atom_site_fract_x
_atom_site_fract_y
_atom_site_fract_z
_atom_site_occupancy
O1 O 0.201 0.201 0.056 1
O2 O 0.299 0.701 0.056 1
O3 O 0.299 0.701 0.444 1
O4 O 0.894 0.538 0.250 1
O5 O 0.606 0.038 0.250 1
O6 O 0.701 0.299 0.944 1
O7 O 0.799 0.799 0.944 1
O8 O 0.394 0.962 0.750 1
O9 O 0.106 0.462 0.750 1
O10 O 0.201 0.201 0.444 1
O11 O 0.799 0.799 0.556 1
O12 O 0.701 0.299 0.556 1
Sc1 Sc 0.000 0.500 0.500 1
Sc2 Sc 0.500 0.000 0.000 1
Sc3 Sc 0.000 0.500 0.000 1
Sc4 Sc 0.500 0.000 0.500 1
Pr1 Pr 0.015 0.945 0.250 1
Pr2 Pr 0.485 0.445 0.250 1
Pr3 Pr 0.985 0.055 0.750 1
Pr4 Pr 0.515 0.555 0.750 1
```

no.,density of states at the Fermi level (states/eV per cell)
1,1.00
2,2.38
3,3.15
4,0.00
5,3.08
6,1.57
7,3.57
8,3.80
9,4.62
10,3.23
11,1.59
12,0.00